A relaxed structure of KSb2Ru, computed with PBE-GGA.

Cell and atoms, written as extended XYZ:
```
4
Lattice="4.6531 0.0000 0.0000 0.0000 4.6531 0.0000 0.0000 0.0000 4.3071" Properties=species:S:1:pos:R:3 pbc="T T T"
K 0.0000 0.0000 0.0000
Sb 0.0000 2.3266 2.1535
Sb 2.3266 0.0000 2.1535
Ru 2.3266 2.3266 0.0000
```

Its mass density is 6.83 g/cm³. The total energy is -4.079 eV/atom. The energy above the most stable polymorph in this dataset is 728.0 meV per atom. The calculation puts the total magnetization at 0.21 μB per atom.